GGA-PBE ZrFeRe, optimized geometry; ΔH_f (0 K) = 0.1583 eV per atom; Fermi-level density of states = 3.792 states/eV/cell; total moment = 2.27 μB/f.u.; E above lowest polymorph = 0.443 eV per atom; space-group type = P3m1 (156)
1.0
4.5098 0.0000 0.0000
-2.2549 3.9056 0.0000
0.0000 0.0000 2.7460
Re Zr Fe
1 1 1
direct
0.6667 0.3333 0.3001
0.3333 0.6667 0.6711
0.0000 0.0000 0.0288